Compound: MnCOF2
Source: the Alexandria database
Functional: PBE with a Hubbard U
Structure: relaxed

Cell: 4.1389 4.1389 3.1765 Å, 90.00 90.00 90.00°
Sites, in units of the cell vectors:
Mn 0.0000 0.0000 0.0000
C 0.5000 0.5000 0.5000
O 0.5000 0.5000 0.0000
F 0.0000 0.5000 0.5000
F 0.5000 0.0000 0.5000

E above lowest polymorph   0.000 eV per atom
Mass density   3.69 g/cm3
Total moment   5.0 μB per cell
Space group   P4/mmm (123)

=====

Compound: MnTe2CF
Source: the Alexandria database
Functional: PBE with a Hubbard U
Structure: relaxed

Cell: 5.3742 5.3742 3.8739 Å, 90.00 90.00 90.00°
Sites, in units of the cell vectors:
Mn 0.0000 0.0000 0.0000
Te 0.0000 0.5000 0.5000
Te 0.5000 0.0000 0.5000
C 0.5000 0.5000 0.0000
F 0.0000 0.0000 0.5000

Raw total energy   -3.898 eV per atom
Mass density   5.06 g/cm3
Total moment   4.3 μB per cell
Space group   P4/mmm (123)

=====

Compound: MnW2CF
Source: the Alexandria database
Functional: PBE with a Hubbard U
Structure: relaxed

Cell: 4.1632 4.1632 5.1133 Å, 90.00 90.00 90.00°
Sites, in units of the cell vectors:
Mn 0.0000 0.0000 0.0000
W 0.0000 0.5000 0.5000
W 0.5000 0.0000 0.5000
C 0.5000 0.5000 0.5000
F 0.5000 0.5000 0.0000

Raw total energy   -5.839 eV per atom
Mass density   8.50 g/cm3
Total moment   0.4 μB per cell
Space group   P4/mmm (123)

=====

Compound: Mo2CF
Source: the Alexandria database
Functional: PBE with a Hubbard U
Structure: relaxed

Cell: 4.0008 4.0008 4.0008 Å, 60.00 60.00 60.00°
Sites, in units of the cell vectors:
Mo 0.2500 0.2500 0.2500
Mo 0.7500 0.7500 0.7500
C 0.0000 0.0000 0.0000
F 0.5000 0.5000 0.5000

E above lowest polymorph   0.270 eV per atom
Mass density   8.17 g/cm3
Total moment   2.1 μB per cell
Space group   Fm-3m (225)

=====

Compound: Mo3CF
Source: the Alexandria database
Functional: PBE with a Hubbard U
Structure: relaxed

Cell: 4.1759 4.1759 4.1759 Å, 90.00 90.00 90.00°
Sites, in units of the cell vectors:
Mo 0.0000 0.0000 0.5000
Mo 0.0000 0.5000 0.0000
Mo 0.5000 0.0000 0.0000
C 0.0000 0.0000 0.0000
F 0.5000 0.5000 0.5000

Raw total energy   -5.251 eV per atom
Mass density   7.27 g/cm3
Total moment   0.0 μB per cell
Space group   Pm-3m (221)

=====

Compound: Mo2CF
Source: the Alexandria database
Functional: PBE with a Hubbard U
Structure: relaxed

Cell: 5.2666 5.2666 5.2666 Å, 109.67 109.67 109.07°
Sites, in units of the cell vectors:
Mo 0.0868 0.6250 0.9618
Mo 0.3750 0.3368 0.4618
Mo 0.6632 0.1250 0.0382
Mo 0.8750 0.9132 0.5382
C 0.0000 0.0000 0.0000
C 0.7500 0.2500 0.5000
F 0.2500 0.7500 0.5000
F 0.5000 0.5000 0.0000

E above lowest polymorph   0.000 eV per atom
Mass density   6.58 g/cm3
Total moment   10.0 μB per cell
Space group   I-42d (122)

=====

Compound: MoC2F2
Source: the Alexandria database
Functional: PBE with a Hubbard U
Structure: relaxed

Cell: 4.9507 4.9507 4.9507 Å, 136.38 136.38 63.40°
Sites, in units of the cell vectors:
Mo 0.0000 0.0000 0.0000
C 0.4235 0.4235 0.0000
C 0.5765 0.5765 0.0000
F 0.2500 0.7500 0.5000
F 0.7500 0.2500 0.5000

E above lowest polymorph   0.000 eV per atom
Mass density   4.60 g/cm3
Total moment   3.8 μB per cell
Space group   I4/mmm (139)

=====

Compound: MoC3F
Source: the Alexandria database
Functional: PBE with a Hubbard U
Structure: relaxed

Cell: 4.0872 4.0872 4.0872 Å, 90.00 90.00 90.00°
Sites, in units of the cell vectors:
Mo 0.0000 0.0000 0.0000
C 0.0000 0.0000 0.5000
C 0.0000 0.5000 0.0000
C 0.5000 0.0000 0.0000
F 0.5000 0.5000 0.5000

E above lowest polymorph   0.000 eV per atom
Mass density   3.67 g/cm3
Total moment   0.0 μB per cell
Space group   Pm-3m (221)

=====

Compound: MoC3F
Source: the Alexandria database
Functional: PBE with a Hubbard U
Structure: relaxed

Cell: 3.6082 3.6082 3.6082 Å, 90.00 90.00 90.00°
Sites, in units of the cell vectors:
Mo 0.0000 0.0000 0.0000
C 0.0000 0.5000 0.5000
C 0.5000 0.0000 0.5000
C 0.5000 0.5000 0.0000
F 0.5000 0.5000 0.5000

E above lowest polymorph   0.822 eV per atom
Mass density   5.34 g/cm3
Total moment   0.0 μB per cell
Space group   Pm-3m (221)

=====

Compound: MoC2F2
Source: the Alexandria database
Functional: PBE with a Hubbard U
Structure: relaxed

Cell: 5.9375 5.9375 3.9662 Å, 90.00 90.00 90.00°
Sites, in units of the cell vectors:
Mo 0.0000 0.0000 0.0000
Mo 0.5000 0.5000 0.0000
C 0.2499 0.2501 0.0000
C 0.2501 0.7501 0.0000
C 0.7499 0.2499 0.0000
C 0.7501 0.7499 0.0000
F 0.2494 0.2506 0.5000
F 0.2506 0.7506 0.5000
F 0.7494 0.2494 0.5000
F 0.7506 0.7494 0.5000

E above lowest polymorph   0.203 eV per atom
Mass density   3.75 g/cm3
Total moment   4.1 μB per cell
Space group   P4/mbm (127)

=====

Compound: MoCN2F
Source: the Alexandria database
Functional: PBE with a Hubbard U
Structure: relaxed

Cell: 3.6006 3.6006 3.4079 Å, 90.00 90.00 90.00°
Sites, in units of the cell vectors:
Mo 0.0000 0.0000 0.0000
C 0.5000 0.5000 0.5000
N 0.0000 0.5000 0.5000
N 0.5000 0.0000 0.5000
F 0.5000 0.5000 0.0000

E above lowest polymorph   0.000 eV per atom
Mass density   5.82 g/cm3
Total moment   2.2 μB per cell
Space group   P4/mmm (123)

=====

Compound: MoCN2F
Source: the Alexandria database
Functional: PBE with a Hubbard U
Structure: relaxed

Cell: 4.0005 4.0005 4.0910 Å, 90.00 90.00 90.00°
Sites, in units of the cell vectors:
Mo 0.0000 0.0000 0.0000
C 0.5000 0.5000 0.5000
N 0.0000 0.5000 0.0000
N 0.5000 0.0000 0.0000
F 0.0000 0.0000 0.5000

E above lowest polymorph   0.027 eV per atom
Mass density   3.93 g/cm3
Total moment   1.1 μB per cell
Space group   P4/mmm (123)

=====

The highest mass density belongs to which entry?
MnW2CF